i) {"formula": "Li2PmSi", "functional": "PBE", "state": "optimized geometry", "sg": "No. 225", "cell": [[-0.9939, 3.9352, 2.1987], [-0.8557, -0.0431, 4.5358], [3.0484, 1.8339, 2.9413]], "species": ["Si", "Li", "Li", "Pm"], "frac_coords": [[0.0000, 0.0000, 0.0000], [0.7500, 0.7500, 0.7500], [0.2500, 0.2500, 0.2500], [0.5000, 0.5000, 0.5000]]}



ii) {"formula": "Li2PmSi", "functional": "PBE", "state": "optimized geometry", "sg": "No. 123", "cell": [[4.8627, 0.0000, 0.0000], [0.0000, 4.2217, 0.0000], [0.0000, 0.0000, 4.2217]], "species": ["Li", "Li", "Pm", "Si"], "frac_coords": [[0.0000, 0.5000, 0.0000], [0.0000, 0.0000, 0.5000], [0.5000, 0.5000, 0.5000], [0.5000, 0.0000, 0.0000]]}



Stability ranking, top and bottom: i) is the most stable and ii) is the least stable.



i) {"formula": "LiPmSi4", "functional": "PBE", "state": "optimized geometry", "sg": "No. 191", "cell": [[-0.9692, -3.4125, 1.9746], [3.7405, 1.5437, 0.3300], [-2.2400, 4.1351, 6.0469]], "species": ["Si", "Si", "Si", "Si", "Pm", "Li"], "frac_coords": [[0.3333, 0.6667, 0.2198], [0.6667, 0.3333, 0.2198], [0.6667, 0.3333, 0.7802], [0.3333, 0.6667, 0.7802], [0.0000, 0.0000, 0.5000], [0.0000, 0.0000, 0.0000]]}



ii) {"formula": "LiPmSi4", "functional": "PBE", "state": "optimized geometry", "sg": "No. 216", "cell": [[-0.7253, -3.2903, -4.0532], [-1.9348, -4.8302, 0.8403], [-4.8833, -1.1950, -1.5830]], "species": ["Si", "Si", "Si", "Si", "Li", "Pm"], "frac_coords": [[0.6280, 0.1161, 0.6280], [0.6280, 0.6280, 0.6280], [0.6280, 0.6280, 0.1161], [0.1161, 0.6280, 0.6280], [0.0000, 0.0000, 0.0000], [0.2500, 0.2500, 0.2500]]}



Stability ranking, top and bottom: ii) is the most stable and i) is the least stable.



i) {"formula": "Li4PmSi2", "functional": "PBE", "state": "optimized geometry", "sg": "No. 10", "cell": [[3.8489, 0.0000, -0.8108], [0.0000, 4.2331, 0.0000], [-0.2746, 0.0000, 8.3879]], "species": ["Si", "Si", "Li", "Li", "Li", "Li", "Pm"], "frac_coords": [[0.4276, 0.5000, 0.8563], [0.5724, 0.5000, 0.1437], [0.6732, 0.0000, 0.3432], [0.8206, 0.5000, 0.6449], [0.1794, 0.5000, 0.3551], [0.3268, 0.0000, 0.6568], [0.0000, 0.0000, 0.0000]]}



ii) {"formula": "Li4PmSi2", "functional": "PBE", "state": "optimized geometry", "sg": "No. 139", "cell": [[4.9159, 0.0000, 0.0000], [0.0000, 4.9159, 0.0000], [-2.4579, -2.4579, 5.1732]], "species": ["Li", "Li", "Li", "Li", "Si", "Si", "Pm"], "frac_coords": [[0.0000, 0.5000, 0.0000], [0.7500, 0.2500, 0.5000], [0.2500, 0.7500, 0.5000], [0.5000, 0.0000, 0.0000], [0.6177, 0.6177, 0.2354], [0.3823, 0.3823, 0.7646], [0.0000, 0.0000, 0.0000]]}



Stability ranking, top and bottom: i) is the most stable and ii) is the least stable.



i) {"formula": "LiPmSm", "functional": "PBE", "state": "optimized geometry", "sg": "No. 12", "cell": [[-1.1833, -1.1505, 3.2760], [-1.2438, -3.0914, -1.5336], [11.6196, -5.7643, 2.1800]], "species": ["Sm", "Sm", "Li", "Li", "Pm", "Pm"], "frac_coords": [[0.2494, 0.2494, 0.0978], [0.7506, 0.7506, 0.9022], [0.2491, 0.2491, 0.4501], [0.7509, 0.7509, 0.5499], [0.2513, 0.2513, 0.7145], [0.7487, 0.7487, 0.2855]]}



ii) {"formula": "LiPmSm", "functional": "PBE", "state": "optimized geometry", "sg": "No. 63", "cell": [[-2.1533, 1.0411, -2.8871], [-1.3785, -5.3204, -0.8904], [-13.3182, 1.6865, 10.5416]], "species": ["Pm", "Pm", "Pm", "Pm", "Sm", "Sm", "Sm", "Sm", "Li", "Li", "Li", "Li"], "frac_coords": [[0.9997, 0.9999, 0.6592], [0.0003, 0.4999, 0.8408], [0.4997, 0.5001, 0.3408], [0.5003, 0.0001, 0.1592], [0.0004, 0.0000, 0.9743], [0.5004, 0.5000, 0.0257], [0.9996, 0.5000, 0.5257], [0.4996, 0.0000, 0.4743], [0.9998, 0.0002, 0.3199], [0.4998, 0.4998, 0.6801], [0.0002, 0.5002, 0.1801], [0.5002, 0.9998, 0.8199]]}



iii) {"formula": "LiPmSm", "functional": "PBE", "state": "optimized geometry", "sg": "No. 107", "cell": [[3.7490, 0.0000, 0.0000], [0.0000, 3.7490, 0.0000], [-1.8745, -1.8745, 6.2904]], "species": ["Pm", "Sm", "Li"], "frac_coords": [[0.3200, 0.3200, 0.6400], [0.0139, 0.0139, 0.0278], [0.6661, 0.6661, 0.3322]]}



Stability ranking, top and bottom: i) is the most stable and ii) is the least stable.



i) {"formula": "LiPmSm2", "functional": "PBE", "state": "optimized geometry", "sg": "No. 166", "cell": [[3.5244, 0.0000, 0.0000], [1.7622, 3.0522, 0.0000], [1.7622, 1.0174, 12.4137]], "species": ["Li", "Pm", "Sm", "Sm"], "frac_coords": [[0.0000, 0.0000, 0.0000], [0.5000, 0.5000, 0.5000], [0.9117, 0.9117, 0.2648], [0.0883, 0.0883, 0.7352]]}



ii) {"formula": "LiPmSm2", "functional": "PBE", "state": "optimized geometry", "sg": "No. 123", "cell": [[3.7276, 0.0000, 0.0000], [0.0000, 5.7670, 0.0000], [0.0000, 0.0000, 5.7670]], "species": ["Pm", "Li", "Sm", "Sm"], "frac_coords": [[0.5000, 0.5000, 0.5000], [0.5000, 0.0000, 0.0000], [0.0000, 0.5000, 0.0000], [0.0000, 0.0000, 0.5000]]}



Stability ranking, top and bottom: ii) is the most stable and i) is the least stable.



i) {"formula": "LiPmSm2", "functional": "PBE", "state": "optimized geometry", "sg": "No. 123", "cell": [[-1.9081, -2.4464, -1.9880], [0.1310, -2.3834, 2.8071], [-7.6967, 3.3795, 3.2286]], "species": ["Sm", "Sm", "Li", "Pm"], "frac_coords": [[0.0000, 0.0000, 0.2220], [0.0000, 0.0000, 0.7780], [0.5000, 0.5000, 0.0000], [0.5000, 0.5000, 0.5000]]}



ii) {"formula": "LiPmSm2", "functional": "PBE", "state": "optimized geometry", "sg": "No. 160", "cell": [[3.5873, 0.0000, 0.0000], [1.7937, 3.1067, 0.0000], [1.7937, 1.0356, 11.3891]], "species": ["Pm", "Sm", "Sm", "Li"], "frac_coords": [[0.4998, 0.4998, 0.5005], [0.2533, 0.2533, 0.2401], [0.0801, 0.0801, 0.7597], [0.6668, 0.6668, 0.9997]]}



Stability ranking, top and bottom: i) is the most stable and ii) is the least stable.



i) {"formula": "LiPmSn", "functional": "PBE", "state": "optimized geometry", "sg": "No. 194", "cell": [[-4.0052, -2.5666, 0.1794], [3.9508, -1.6024, 2.1178], [-1.9947, 3.5612, 6.4155]], "species": ["Sn", "Sn", "Li", "Li", "Pm", "Pm"], "frac_coords": [[0.3334, 0.1666, 0.2500], [0.6666, 0.8334, 0.7500], [0.3333, 0.1667, 0.7500], [0.6667, 0.8333, 0.2500], [0.0000, 0.5000, 0.0000], [0.0000, 0.5000, 0.5000]]}



ii) {"formula": "LiPmSn", "functional": "PBE", "state": "optimized geometry", "sg": "No. 107", "cell": [[-2.8910, 0.0016, -3.1125], [2.3177, -2.8342, -2.1542], [-1.8804, -1.8845, 4.6445]], "species": ["Sn", "Pm", "Li"], "frac_coords": [[0.6285, 0.6285, 0.2569], [0.2753, 0.2753, 0.5506], [0.9462, 0.9462, 0.8924]]}



Stability ranking, top and bottom: i) is the most stable and ii) is the least stable.



i) {"formula": "LiPmSn", "functional": "PBE", "state": "optimized geometry", "sg": "No. 216", "cell": [[4.7345, 0.0000, 0.0000], [2.3673, 4.1002, 0.0000], [2.3673, 1.3667, 3.8657]], "species": ["Sn", "Pm", "Li"], "frac_coords": [[0.0000, 0.0000, 0.0000], [0.5000, 0.5000, 0.5000], [0.2500, 0.2500, 0.2500]]}



ii) {"formula": "LiPmSn", "functional": "PBE", "state": "optimized geometry", "sg": "No. 187", "cell": [[3.6682, 0.0000, 0.0000], [0.0000, 4.8321, 0.0000], [0.0000, -2.4160, 4.1847]], "species": ["Li", "Pm", "Sn"], "frac_coords": [[0.1672, 0.6667, 0.3333], [0.6667, 0.3333, 0.6667], [0.1661, 0.0000, 0.0000]]}



iii) {"formula": "LiPmSn", "functional": "PBE", "state": "optimized geometry", "sg": "No. 65", "cell": [[4.3037, 0.0000, 0.0000], [0.0000, 6.0943, -0.3606], [0.0000, -0.8953, 6.0389]], "species": ["Sn", "Sn", "Li", "Li", "Pm", "Pm"], "frac_coords": [[0.0000, 0.3082, 0.3082], [0.0000, 0.6918, 0.6918], [0.0000, 0.0000, 0.0000], [0.5000, 0.5000, 0.5000], [0.5000, 0.7941, 0.2059], [0.5000, 0.2059, 0.7941]]}



Stability ranking, top and bottom: ii) is the most stable and iii) is the least stable.



i) {"formula": "Li2Pm2Sn3", "functional": "PBE", "state": "optimized geometry", "sg": "No. 14", "cell": [[7.6003, 0.0000, -2.5005], [0.0000, 7.7445, 0.0000], [1.3742, 0.0000, 5.9982]], "species": ["Sn", "Sn", "Sn", "Sn", "Sn", "Sn", "Li", "Li", "Li", "Li", "Pm", "Pm", "Pm", "Pm"], "frac_coords": [[0.8166, 0.4885, 0.3587], [0.0000, 0.0000, 0.0000], [0.3166, 0.0115, 0.3587], [0.6834, 0.9885, 0.6413], [0.1834, 0.5115, 0.6413], [0.5000, 0.5000, 0.0000], [0.5119, 0.3230, 0.5976], [0.0119, 0.1770, 0.5976], [0.4881, 0.6770, 0.4024], [0.9881, 0.8230, 0.4024], [0.3376, 0.8616, 0.8472], [0.6624, 0.1384, 0.1528], [0.1624, 0.3616, 0.1528], [0.8376, 0.6384, 0.8472]]}



ii) {"formula": "Li2Pm2Sn3", "functional": "PBE", "state": "optimized geometry", "sg": "No. 63", "cell": [[-1.2921, -4.3873, -0.9437], [6.6496, -2.3985, 2.0464], [-2.6181, 1.1394, 9.8426]], "species": ["Sn", "Sn", "Sn", "Sn", "Sn", "Sn", "Pm", "Pm", "Pm", "Pm", "Li", "Li", "Li", "Li"], "frac_coords": [[0.2202, 0.7500, 0.4404], [0.7798, 0.2500, 0.5596], [0.5685, 0.0536, 0.1370], [0.5685, 0.4464, 0.1370], [0.4315, 0.5536, 0.8630], [0.4315, 0.9464, 0.8630], [0.9502, 0.2500, 0.9005], [0.1578, 0.2500, 0.3156], [0.8422, 0.7500, 0.6844], [0.0498, 0.7500, 0.0995], [0.6957, 0.5622, 0.3914], [0.3043, 0.0622, 0.6086], [0.6957, 0.9378, 0.3914], [0.3043, 0.4378, 0.6086]]}



Stability ranking, top and bottom: ii) is the most stable and i) is the least stable.



i) {"formula": "Li3PmSn3", "functional": "PBE", "state": "optimized geometry", "sg": "No. 223", "cell": [[-2.4145, -4.9875, 4.4656], [0.1602, -4.7889, -5.2619], [6.6926, -1.6847, 1.7370]], "species": ["Li", "Li", "Li", "Li", "Li", "Li", "Sn", "Sn", "Sn", "Sn", "Sn", "Sn", "Pm", "Pm"], "frac_coords": [[0.0000, 0.7500, 0.5000], [0.7500, 0.5000, 0.0000], [0.0000, 0.2500, 0.5000], [0.2500, 0.5000, 0.0000], [0.5000, 0.0000, 0.7500], [0.5000, 0.0000, 0.2500], [0.2500, 0.0000, 0.5000], [0.0000, 0.5000, 0.7500], [0.0000, 0.5000, 0.2500], [0.5000, 0.2500, 0.0000], [0.5000, 0.7500, 0.0000], [0.7500, 0.0000, 0.5000], [0.0000, 0.0000, 0.0000], [0.5000, 0.5000, 0.5000]]}



ii) {"formula": "Li3PmSn3", "functional": "PBE", "state": "optimized geometry", "sg": "No. 176", "cell": [[4.4007, 0.0000, 0.0000], [0.0000, 9.8204, 0.0000], [0.0000, -4.9102, 8.5047]], "species": ["Sn", "Sn", "Sn", "Sn", "Sn", "Sn", "Li", "Li", "Li", "Li", "Li", "Li", "Pm", "Pm"], "frac_coords": [[0.2500, 0.0542, 0.6113], [0.2500, 0.3887, 0.4430], [0.2500, 0.5570, 0.9458], [0.7500, 0.6113, 0.5570], [0.7500, 0.4430, 0.0542], [0.7500, 0.9458, 0.3887], [0.7500, 0.3079, 0.2399], [0.2500, 0.0680, 0.3079], [0.2500, 0.2399, 0.9320], [0.7500, 0.9320, 0.6921], [0.2500, 0.6921, 0.7601], [0.7500, 0.7601, 0.0680], [0.2500, 0.6667, 0.3333], [0.7500, 0.3333, 0.6667]]}



Stability ranking, top and bottom: ii) is the most stable and i) is the least stable.



i) {"formula": "LiPmSn3", "functional": "PBE", "state": "optimized geometry", "sg": "No. 59", "cell": [[4.7665, -0.0012, 0.0000], [0.0019, 7.0718, 0.0000], [0.0000, 0.0000, 7.5297]], "species": ["Sn", "Sn", "Sn", "Sn", "Sn", "Sn", "Li", "Li", "Pm", "Pm"], "frac_coords": [[0.2500, 0.5455, 0.3205], [0.2500, 0.9545, 0.3205], [0.7500, 0.0455, 0.6795], [0.2500, 0.2500, 0.9148], [0.7500, 0.7500, 0.0852], [0.7500, 0.4545, 0.6795], [0.7500, 0.7500, 0.4446], [0.2500, 0.2500, 0.5554], [0.2500, 0.7500, 0.7866], [0.7500, 0.2500, 0.2134]]}



ii) {"formula": "LiPmSn3", "functional": "PBE", "state": "optimized geometry", "sg": "No. 13", "cell": [[-2.1567, 5.8059, 0.5843], [-5.7224, -1.9782, -1.5725], [-2.7029, -2.2830, 12.7075]], "species": ["Sn", "Sn", "Sn", "Sn", "Sn", "Sn", "Sn", "Sn", "Sn", "Sn", "Sn", "Sn", "Li", "Li", "Li", "Li", "Pm", "Pm", "Pm", "Pm"], "frac_coords": [[0.3156, 0.2503, 0.9195], [0.4980, 0.2501, 0.2618], [0.7500, 0.0000, 0.4977], [0.0020, 0.7499, 0.2618], [0.2500, 0.0000, 0.5023], [0.1844, 0.7497, 0.9195], [0.5020, 0.7499, 0.7382], [0.7500, 0.5000, 0.4973], [0.9980, 0.2501, 0.7382], [0.8156, 0.2503, 0.0805], [0.6844, 0.7497, 0.0805], [0.2500, 0.5000, 0.5027], [0.7500, 0.5000, 0.8932], [0.2500, 0.0000, 0.1066], [0.7500, 0.0000, 0.8934], [0.2500, 0.5000, 0.1068], [0.5028, 0.2499, 0.6899], [0.0028, 0.2499, 0.3101], [0.4972, 0.7501, 0.3101], [0.9972, 0.7501, 0.6899]]}



Stability ranking, top and bottom: ii) is the most stable and i) is the least stable.



i) {"formula": "SrLi2Pm", "functional": "PBE", "state": "optimized geometry", "sg": "No. 123", "cell": [[3.9681, 0.0000, 0.0000], [0.0000, 3.9681, 0.0000], [0.0000, 0.0000, 8.1342]], "species": ["Pm", "Li", "Li", "Sr"], "frac_coords": [[0.5000, 0.5000, 0.0000], [0.0000, 0.0000, 0.7784], [0.0000, 0.0000, 0.2216], [0.5000, 0.5000, 0.5000]]}



ii) {"formula": "SrLi2Pm", "functional": "PBE", "state": "optimized geometry", "sg": "No. 225", "cell": [[5.6354, 0.0000, 0.0000], [2.8177, 4.8804, 0.0000], [2.8177, 1.6268, 4.6013]], "species": ["Pm", "Li", "Li", "Sr"], "frac_coords": [[0.0000, 0.0000, 0.0000], [0.2500, 0.2500, 0.2500], [0.7500, 0.7500, 0.7500], [0.5000, 0.5000, 0.5000]]}



Stability ranking, top and bottom: i) is the most stable and ii) is the least stable.